Version P
Compound: HgTe2Pb2
Source: Alexandria via LeMat-Bulk
Functional: PBE-GGA
Structure: relaxed

Structure (POSCAR):
```
HgTe2Pb2
1.0
-5.1230 -0.0668 -7.3486
-6.5024 -4.1327 4.5707
-1.5850 3.6791 1.0716
Pb Te Hg
4 4 2
Direct
0.3537 0.1463 0.5000
0.8537 0.3537 0.5000
0.1463 0.6463 0.5000
0.6463 0.8537 0.5000
0.8493 0.6507 0.0000
0.1507 0.3493 0.0000
0.3493 0.8493 0.0000
0.6507 0.1507 0.0000
0.0000 0.0000 0.0000
0.5000 0.5000 0.0000
```

space-group type: P4/mbm, No. 127



Version Q
Compound: HgTe2Pb2
Source: Alexandria via LeMat-Bulk
Functional: PBE-GGA
Structure: relaxed

Structure (POSCAR):
```
HgTe2Pb2
1.0
-0.2209 -5.3664 -1.7717
3.9022 1.1377 -3.9326
6.3243 -3.6235 1.1603
Hg Pb Te
1 2 2
Direct
0.0000 0.0000 0.0000
0.3608 0.3608 0.2785
0.6392 0.6392 0.7215
0.7500 0.2500 0.5000
0.2500 0.7500 0.5000
```

space-group type: I4/mmm, No. 139



So which one is most stable? That would be version P, about 0.018 eV/atom below the next structure.



Version P
Compound: HgTe2Pb2
Source: Alexandria via LeMat-Bulk
Functional: PBE-GGA
Structure: relaxed

Structure (POSCAR):
```
HgTe2Pb2
1.0
8.8680 0.0000 0.0000
0.0000 8.8680 0.0000
0.0000 0.0000 4.2165
Te Hg Pb
4 2 4
Direct
0.1533 0.6533 0.5000
0.6533 0.8467 0.5000
0.8467 0.3467 0.5000
0.3467 0.1533 0.5000
0.0000 0.0000 0.0000
0.5000 0.5000 0.0000
0.8550 0.6450 0.0000
0.1450 0.3550 0.0000
0.6450 0.1450 0.0000
0.3550 0.8550 0.0000
```

space-group type: P4/mbm, No. 127



Version Q
Compound: HgTe2Pb2
Source: Alexandria via LeMat-Bulk
Functional: PBE-GGA
Structure: relaxed

Structure (POSCAR):
```
HgTe2Pb2
1.0
6.4434 0.0000 0.0000
0.0000 9.8929 0.0000
0.0000 0.0000 11.6160
Hg Te Pb
4 8 8
Direct
0.7500 0.2641 0.6436
0.2500 0.7359 0.3564
0.2500 0.2359 0.1436
0.7500 0.7641 0.8564
0.2500 0.9488 0.6476
0.7500 0.6249 0.5707
0.7500 0.5512 0.1476
0.2500 0.3751 0.4293
0.7500 0.1249 0.9293
0.2500 0.8751 0.0707
0.7500 0.0512 0.3524
0.2500 0.4488 0.8524
0.2500 0.1072 0.8810
0.7500 0.4320 0.8981
0.7500 0.8928 0.1190
0.7500 0.9320 0.6019
0.7500 0.3928 0.3810
0.2500 0.0680 0.3981
0.2500 0.5680 0.1019
0.2500 0.6072 0.6190
```

space-group type: Pnma, No. 62



So which one is most stable? That would be version Q, about 0.036 eV/atom below the next structure.



Version P
Compound: Hg2Te2Pb
Source: Alexandria via LeMat-Bulk
Functional: PBE-GGA
Structure: relaxed

Structure (POSCAR):
```
Hg2Te2Pb
1.0
5.8107 0.0000 0.0000
0.0000 5.8107 0.0000
2.9054 2.9054 4.6666
Hg Te Pb
2 2 1
Direct
0.6467 0.6467 0.7066
0.3533 0.3533 0.2934
0.2500 0.7500 0.5000
0.7500 0.2500 0.5000
0.0000 0.0000 0.0000
```

space-group type: I4/mmm, No. 139



Version Q
Compound: Hg2Te2Pb
Source: Alexandria via LeMat-Bulk
Functional: PBE-GGA
Structure: relaxed

Structure (POSCAR):
```
Hg2Te2Pb
1.0
4.3430 0.0000 0.0000
0.0000 4.3430 0.0000
2.1715 2.1715 8.4406
Hg Pb Te
2 1 2
Direct
0.2500 0.7500 0.5000
0.7500 0.2500 0.5000
0.0000 0.0000 0.0000
0.5882 0.5882 0.8235
0.4118 0.4118 0.1765
```

space-group type: I4/mmm, No. 139



Version R
Compound: Hg2Te2Pb
Source: Alexandria via LeMat-Bulk
Functional: PBE-GGA
Structure: relaxed

Structure (POSCAR):
```
Hg2Te2Pb
1.0
-3.4561 2.1482 -7.5273
0.9410 -8.0547 -2.7308
-3.7580 -0.9337 1.4590
Hg Te Pb
4 4 2
Direct
0.8553 0.3553 0.5000
0.6447 0.8553 0.5000
0.1447 0.6447 0.5000
0.3553 0.1447 0.5000
0.8371 0.6629 0.0000
0.6629 0.1629 0.0000
0.1629 0.3371 0.0000
0.3371 0.8371 0.0000
0.0000 0.0000 0.0000
0.5000 0.5000 0.0000
```

space-group type: P4/mbm, No. 127



So which one is most stable? That would be version Q, about 0.075 eV/atom below the next structure.



Version P
Compound: ThHgPb2
Source: Alexandria via LeMat-Bulk
Functional: PBE-GGA
Structure: relaxed

Structure (POSCAR):
```
ThHgPb2
1.0
3.5391 0.0000 0.0000
1.7695 3.0649 0.0000
1.7695 1.0216 11.4842
Hg Pb Th
1 2 1
Direct
0.5000 0.5000 0.5000
0.0949 0.0949 0.7152
0.9051 0.9051 0.2848
0.0000 0.0000 0.0000
```

space-group type: R-3m, No. 166



Version Q
Compound: ThHgPb2
Source: Alexandria via LeMat-Bulk
Functional: PBE-GGA
Structure: relaxed

Structure (POSCAR):
```
ThHgPb2
1.0
-0.1733 0.5831 -4.7504
2.3651 -4.1845 -0.6000
-4.2236 -2.3676 -0.1366
Pb Th Hg
2 1 1
Direct
0.0000 0.5000 0.0000
0.0000 0.0000 0.5000
0.5000 0.5000 0.5000
0.5000 0.0000 0.0000
```

space-group type: P4/mmm, No. 123



So which one is most stable? That would be version Q, about 0.455 eV/atom below the next structure.



Version P
Compound: ThHgPb3
Source: Alexandria via LeMat-Bulk
Functional: PBE-GGA
Structure: relaxed

Structure (POSCAR):
```
ThHgPb3
1.0
-3.0114 -1.7042 0.3144
7.2422 -5.5002 9.4551
1.6981 4.1629 1.7528
Th Pb Hg
1 3 1
Direct
0.4895 0.1450 0.3082
0.6924 0.3414 0.8411
0.2882 0.9531 0.7412
0.8804 0.5504 0.2883
0.1033 0.7351 0.9265
```

space-group type: P1, No. 1



Version Q
Compound: ThHgPb3
Source: Alexandria via LeMat-Bulk
Functional: PBE-GGA
Structure: relaxed

Structure (POSCAR):
```
ThHgPb3
1.0
3.4904 -0.2935 -0.0012
-2.5516 8.2039 -0.1676
0.2778 -3.2449 11.1127
Th Pb Hg
2 6 2
Direct
0.9242 0.4279 0.3367
0.0758 0.5721 0.6633
0.9320 0.9506 0.8036
0.2699 0.7171 0.9721
0.7647 0.8014 0.4972
0.7301 0.2829 0.0279
0.0680 0.0494 0.1964
0.2353 0.1986 0.5028
0.3471 0.3411 0.8012
0.6529 0.6589 0.1988
```

space-group type: P-1, No. 2



So which one is most stable? That would be version Q, about 0.007 eV/atom below the next structure.



Version P
Compound: ThHg4Pb
Source: Alexandria via LeMat-Bulk
Functional: PBE-GGA
Structure: relaxed

Structure (POSCAR):
```
ThHg4Pb
1.0
-4.0206 -3.1739 -0.2080
4.7560 -1.8533 -0.4779
0.3404 -0.8735 6.7952
Hg Pb Th
4 1 1
Direct
0.3337 0.1670 0.7346
0.6663 0.8330 0.2654
0.3330 0.1663 0.2654
0.6670 0.8337 0.7346
0.0000 0.5000 0.0000
0.0000 0.5000 0.5000
```

space-group type: P6/mmm, No. 191



Version Q
Compound: ThHg4Pb
Source: Alexandria via LeMat-Bulk
Functional: PBE-GGA
Structure: relaxed

Structure (POSCAR):
```
ThHg4Pb
1.0
6.0703 0.0000 0.0000
3.0351 5.2570 0.0000
3.0351 1.7523 4.9564
Pb Hg Th
1 4 1
Direct
0.0000 0.0000 0.0000
0.6252 0.6252 0.6252
0.1244 0.6252 0.6252
0.6252 0.6252 0.1244
0.6252 0.1244 0.6252
0.2500 0.2500 0.2500
```

space-group type: F-43m, No. 216



So which one is most stable? That would be version P, about 0.192 eV/atom below the next structure.